# Ba2CoAs (GGA-PBEsol, relaxed)
data_Ba2CoAs
_chemical_formula_sum 'Ba2 Co1 As1'
_space_group_name_H-M_alt 'P 1'
_space_group_IT_number 1
_cell_length_a 4.376
_cell_length_b 5.964
_cell_length_c 5.964
_cell_angle_alpha 47.65
_cell_angle_beta 90.00
_cell_angle_gamma 90.00
loop_
_space_group_symop_operation_xyz
'x,y,z'
loop_
_atom_site_label
_atom_site_type_symbol
_atom_site_fract_x
_atom_site_fract_y
_atom_site_fract_z
_atom_site_occupancy
Ba1 Ba 0.000 0.000 0.000 1
Ba2 Ba 0.500 0.295 0.295 1
Co1 Co 0.500 0.621 0.621 1
As1 As 0.000 0.691 0.691 1
# Raw total energy in eV per formula unit: -18.61
# Energy relative to the elements in eV/atom: -0.37
# Magnetic moment in μB per formula unit: 0.25
# Crystal system: orthorhombic
# Space-group type: Amm2 (38)